# 1
Material: Tc2HW
Method: DFT, SCAN
State: single point on PBEsol structure

a b c (Å): 4.175 4.175 4.175
angles (deg): 60.00 60.00 60.00
Sites, in units of the cell vectors:
H1 0.000 0.000 0.000
Tc1 0.250 0.250 0.250
W1 0.500 0.500 0.500
Tc2 0.750 0.750 0.750

Summary:
V = 12.86 Å³ per atom
size of the total moment = 0.000 μB per cell
total energy = -35.096 eV per atom

# 2
Material: TlTePI2
Method: DFT, SCAN
State: single point on PBEsol structure

a b c (Å): 5.243 5.537 5.537
angles (deg): 90.00 90.00 90.00
Sites, in units of the cell vectors:
I1 0.000 0.500 0.000
Tl1 0.500 0.500 0.500
P1 0.000 0.000 0.000
I2 0.000 0.000 0.500
Te1 0.500 0.000 0.000

Summary:
V = 32.15 Å³ per atom
ΔE to the lowest computed polymorph = 0 meV per atom
formation energy from raw total energies = 0.041 eV per atom
size of the total moment = 0.000 μB per cell

# 3
Material: CrO2
Method: DFT, SCAN
State: single point on PBEsol structure

a b c (Å): 4.263 4.817 5.343
angles (deg): 90.00 90.00 90.00
Each line ends with the local moment (μB).
Sites, in units of the cell vectors:
Cr1 0.000 0.250 0.854  2.24
O1 0.265 0.918 0.382  -0.13
O2 0.265 0.418 0.618  -0.13
Cr2 0.500 0.750 0.646  2.24
O3 0.235 0.418 0.118  -0.13
Cr3 0.500 0.250 0.354  2.24
O4 0.765 0.082 0.118  -0.13
O5 0.735 0.582 0.382  -0.13
O6 0.735 0.082 0.618  -0.13
O7 0.235 0.918 0.882  -0.13
O8 0.765 0.582 0.882  -0.13
Cr4 0.000 0.750 0.146  2.24

Summary:
V = 9.14 Å³ per atom
formation energy from raw total energies = -2.237 eV per atom
size of the total moment = 8.000 μB per cell